Compound: Ho3BeGa2Ir3
Source: the Alexandria database
Functional: GGA-PBE
Structure: optimized geometry

```
Ho3BeGa2Ir3
1.0
-2.677 0.093 2.470
4.234 -3.228 4.710
-0.117 7.096 -0.395
Ir Ho Ga Be
3 3 2 1
Cartesian
-0.380 0.947 2.240
1.910 -2.430 4.848
-1.428 5.491 0.932
1.619 -1.235 1.802
-0.045 2.715 -0.151
2.542 2.389 2.664
1.445 0.260 4.243
-0.005 3.701 2.542
0.000 0.000 0.000
```

Output
The space group is P-62m, No. 189. Its formation enthalpy at 0 K is -0.766 eV per atom.

***

Compound: CuPt2Rh
Source: the Alexandria database
Functional: GGA-PBE
Structure: optimized geometry

```
CuPt2Rh
1.0
4.734 0.005 0.000
1.558 4.471 0.000
-3.146 -2.238 2.740
Rh Cu Pt
1 1 2
Cartesian
3.146 2.238 0.000
2.367 0.003 1.370
0.779 2.235 1.370
0.000 0.000 0.000
```

Output
The space group is I-4m2, No. 119. Its formation enthalpy at 0 K is -0.063 eV per atom.

***

Compound: Ce2CN
Source: the Alexandria database
Functional: GGA-PBE
Structure: optimized geometry

```
Ce2CN
1.0
-3.432 0.544 -1.626
-3.165 0.045 2.168
-1.525 6.961 1.022
Ce N C
2 1 1
Cartesian
-1.725 4.953 0.772
-6.396 2.597 0.792
0.000 0.000 0.000
-4.061 3.775 0.782
```

Output
The space group is R-3m, No. 166. For the excess energy over the best structure of this formula in the dataset, the calculation gives 562 meV per atom.

***

Compound: Mn5Cu3
Source: the Alexandria database
Functional: GGA-PBE
Structure: optimized geometry

```
Mn5Cu3
1.0
3.655 -3.719 0.000
3.655 3.719 0.000
0.000 0.000 3.659
Mn Cu
5 3
Cartesian
1.827 -1.859 0.000
5.556 0.000 1.829
1.754 0.000 1.829
1.827 1.859 0.000
0.000 0.000 0.000
3.655 1.811 1.829
3.655 0.000 0.000
3.655 -1.811 1.829
```

Output
The space group is Cmmm, No. 65. Its formation enthalpy at 0 K is 0.186 eV per atom.

***

Compound: Mg4ZrPa
Source: the Alexandria database
Functional: GGA-PBE
Structure: optimized geometry

```
Mg4ZrPa
1.0
-4.881 -1.639 2.679
-0.965 -5.618 1.092
0.205 -1.973 5.454
Mg Zr Pa
4 1 1
Cartesian
-3.528 -5.773 5.771
-3.044 -2.952 5.223
-1.077 -4.950 4.426
-3.632 -4.783 3.032
0.000 0.000 0.000
-1.410 -2.307 2.306
```

Output
The space group is F-43m, No. 216. Its formation enthalpy at 0 K is 0.218 eV per atom.

***

Compound: Li2YBr
Source: the Alexandria database
Functional: GGA-PBE
Structure: optimized geometry

```
Li2YBr
1.0
-5.348 1.596 1.048
-5.423 -0.580 -1.582
-3.212 -3.816 3.249
Y Br Li
1 1 2
Cartesian
-6.846 -1.852 1.727
-9.767 -1.663 1.654
-3.662 -0.605 0.605
-0.699 -0.079 0.085
```

Output
The space group is Cm, No. 8. For the excess energy over the best structure of this formula in the dataset, the calculation gives 130 meV per atom.

***

| no. | density (g/cm³) |
| --- | --- |
| 1 | 12.7 |
| 2 | 15.9 |
| 3 | 5.8 |
| 4 | 7.8 |
| 5 | 5.0 |
| 6 | 3.1 |